Model w:
Density functional theory data (PBE) for crystalline POs3 at its relaxed geometry.

a = 4.876 Å, b = 4.876 Å, c = 4.876 Å
α = 90.00°, β = 90.00°, γ = 90.00°
Fractional positions:
P1 0.000 0.000 0.000
P2 0.500 0.500 0.500
Os1 0.750 0.500 0.000
Os2 0.250 0.500 0.000
Os3 0.000 0.750 0.500
Os4 0.000 0.250 0.500
Os5 0.500 0.000 0.250
Os6 0.500 0.000 0.750

Output
* crystal system: cubic
* symmetry: Pm-3n

***

Model x:
Density functional theory data (PBE) for crystalline POs3 at its relaxed geometry.

a = 5.350 Å, b = 5.217 Å, c = 7.986 Å
α = 90.00°, β = 90.00°, γ = 90.00°
Fractional positions:
P1 0.465 0.970 0.750
P2 0.965 0.530 0.250
P3 0.035 0.470 0.750
P4 0.535 0.030 0.250
Os1 0.030 0.019 0.750
Os2 0.530 0.481 0.250
Os3 0.470 0.519 0.750
Os4 0.970 0.981 0.250
Os5 0.678 0.180 0.972
Os6 0.178 0.320 0.028
Os7 0.822 0.680 0.528
Os8 0.322 0.820 0.472
Os9 0.322 0.820 0.028
Os10 0.822 0.680 0.972
Os11 0.178 0.320 0.472
Os12 0.678 0.180 0.528

Output
* crystal system: orthorhombic
* symmetry: Pnma

***

Model y:
Density functional theory data (PBE) for crystalline POs3 at its relaxed geometry.

a = 8.308 Å, b = 8.308 Å, c = 8.308 Å
α = 19.35°, β = 19.35°, γ = 19.35°
Fractional positions:
P1 0.000 0.000 0.000
Os1 0.257 0.257 0.257
Os2 0.500 0.500 0.500
Os3 0.743 0.743 0.743

Output
* crystal system: trigonal
* symmetry: R-3m

***

Model z:
Density functional theory data (PBE) for crystalline POs3 at its relaxed geometry.

a = 4.537 Å, b = 4.537 Å, c = 2.791 Å
α = 90.00°, β = 90.00°, γ = 101.49°
Fractional positions:
P1 0.000 0.000 0.000
Os1 0.000 0.500 0.500
Os2 0.500 0.000 0.500
Os3 0.500 0.500 0.000

Output
* crystal system: orthorhombic
* symmetry: Cmmm

***

Which is most stable? The ranking, best first, is model x, model y, model z, model w.